A geometry-optimized YScTc2 structure. Source: Alexandria via LeMat-Bulk, functional GGA-PBE.

Lattice parameters (Å, degrees): 3.001 3.001 8.853 90.00 90.00 111.73
Fractional positions:
Sc: 0.500 0.500 0.750
Tc: 0.000 0.000 0.989
Tc: 0.000 0.000 0.511
Y: 0.500 0.500 0.250

Output
energy relative to the lowest polymorph listed for this composition	217	meV per atom
SG	Cmmm, No. 65
E_tot	-8.216	eV/atom

---

A geometry-optimized Ac4GeBiTe2 structure. Source: Alexandria via LeMat-Bulk, functional GGA-PBE.

Lattice parameters (Å, degrees): 4.743 8.271 8.238 109.33 90.00 90.00
Fractional positions:
Ac: 0.500 0.259 0.237
Ac: 0.500 0.741 0.763
Ac: 0.000 0.268 0.770
Ac: 0.000 0.732 0.230
Ge: 0.500 0.500 0.000
Bi: 0.000 0.000 0.000
Te: 0.500 0.000 0.500
Te: 0.000 0.500 0.500

Output
SG	P2/m, No. 10
E_tot	-5.154	eV/atom

---

A geometry-optimized MnP3 structure. Source: Alexandria via LeMat-Bulk, functional GGA-PBE.

Lattice parameters (Å, degrees): 5.835 3.182 7.033 90.00 113.52 90.00
Fractional positions:
Mn: 0.914 0.000 0.375
Mn: 0.914 0.500 0.875
P: 0.495 0.000 0.117
P: 0.495 0.500 0.617
P: 0.738 0.000 0.600
P: 0.738 0.500 0.100
P: 0.115 0.000 0.128
P: 0.115 0.500 0.628

Output
energy relative to the lowest polymorph listed for this composition	138	meV per atom
SG	Cm, No. 8
E_tot	-6.371	eV/atom

---

A geometry-optimized Na2ZnMoPt structure. Source: Alexandria via LeMat-Bulk, functional GGA-PBE.

Lattice parameters (Å, degrees): 4.787 5.013 4.787 90.00 90.00 90.00
Each line ends with the local moment (μB).
Fractional positions:
Na: 0.000 0.000 0.500  0.00
Na: 0.500 0.000 0.000  -0.01
Mo: 0.000 0.500 0.000  2.73
Zn: 0.000 0.000 0.000  0.04
Pt: 0.500 0.500 0.500  0.17

Output
SG	P4/mmm, No. 123
E_tot	-3.031	eV/atom

---

A geometry-optimized LuTlInHg structure. Source: Alexandria via LeMat-Bulk, functional GGA-PBE.

Lattice parameters (Å, degrees): 5.251 5.251 5.251 60.00 60.00 60.00
Fractional positions:
Tl: 0.000 0.000 0.000
Lu: 0.750 0.750 0.750
Hg: 0.500 0.500 0.500
In: 0.250 0.250 0.250

Output
SG	F-43m, No. 216
E_tot	-2.602	eV/atom

---

A geometry-optimized NaTi3Hg structure. Source: Alexandria via LeMat-Bulk, functional GGA-PBE.

Lattice parameters (Å, degrees): 5.176 5.176 5.176 90.00 90.00 90.00
Each line ends with the local moment (μB).
Fractional positions:
Na: 0.500 0.500 0.500  0.01
Hg: 0.000 0.000 0.000  0.05
Ti: 0.000 0.500 0.000  1.26
Ti: 0.000 0.000 0.500  0.97
Ti: 0.500 0.000 0.000  1.43

Output
energy relative to the lowest polymorph listed for this composition	0	meV per atom
SG	Pm-3m, No. 221
E_tot	-3.943	eV/atom

---

A geometry-optimized Nb2W4S structure. Source: Alexandria via LeMat-Bulk, functional GGA-PBE.

Lattice parameters (Å, degrees): 4.409 4.409 7.365 72.58 72.58 90.00
Fractional positions:
Nb: 0.634 0.634 0.733
Nb: 0.366 0.366 0.267
S: 0.000 0.000 0.000
W: 0.830 0.830 0.340
W: 0.170 0.170 0.660
W: 0.000 0.500 0.000
W: 0.500 0.000 0.000

Output
SG	I4/mmm, No. 139
E_tot	-9.867	eV/atom

---

A geometry-optimized HfAlS2N structure. Source: Alexandria via LeMat-Bulk, functional GGA-PBE.

Lattice parameters (Å, degrees): 4.656 4.656 3.566 90.00 90.00 90.00
Fractional positions:
S: 0.000 0.500 0.000
S: 0.500 0.000 0.000
Hf: 0.500 0.500 0.500
Al: 0.000 0.000 0.000
N: 0.000 0.000 0.500

Output
energy relative to the lowest polymorph listed for this composition	0	meV per atom
SG	P4/mmm, No. 123
E_tot	-6.305	eV/atom

---

A geometry-optimized CsSn2P2 structure. Source: Alexandria via LeMat-Bulk, functional GGA-PBE.

Lattice parameters (Å, degrees): 6.912 6.912 6.912 137.09 137.09 62.30
Fractional positions:
Cs: 0.000 0.000 0.000
Sn: 0.665 0.665 0.000
Sn: 0.335 0.335 0.000
P: 0.750 0.250 0.500
P: 0.250 0.750 0.500

Output
SG	I4/mmm, No. 139
E_tot	-4.044	eV/atom

---

A geometry-optimized SrMg2Ir structure. Source: Alexandria via LeMat-Bulk, functional GGA-PBE.

Lattice parameters (Å, degrees): 5.977 7.921 16.279 90.00 90.00 90.00
Fractional positions:
Sr: 0.467 0.250 0.135
Sr: 0.967 0.750 0.365
Sr: 0.533 0.750 0.865
Sr: 0.033 0.250 0.635
Sr: 0.781 0.250 0.396
Sr: 0.281 0.750 0.104
Sr: 0.219 0.750 0.604
Sr: 0.719 0.250 0.896
Mg: 0.975 0.058 0.211
Mg: 0.475 0.942 0.289
Mg: 0.025 0.558 0.789
Mg: 0.525 0.442 0.711
Mg: 0.025 0.942 0.789
Mg: 0.525 0.058 0.711
Mg: 0.975 0.442 0.211
Mg: 0.475 0.558 0.289
Mg: 0.802 0.564 0.048
Mg: 0.302 0.436 0.452
Mg: 0.198 0.064 0.952
Mg: 0.698 0.936 0.548
Mg: 0.198 0.436 0.952
Mg: 0.698 0.564 0.548
Mg: 0.802 0.936 0.048
Mg: 0.302 0.064 0.452
Ir: 0.251 0.250 0.310
Ir: 0.751 0.750 0.190
Ir: 0.749 0.750 0.690
Ir: 0.249 0.250 0.810
Ir: 0.975 0.250 0.069
Ir: 0.475 0.750 0.431
Ir: 0.025 0.750 0.931
Ir: 0.525 0.250 0.569

Output
SG	Pnma, No. 62
E_tot	-3.748	eV/atom

---

A geometry-optimized CdIn6Bi2 structure. Source: Alexandria via LeMat-Bulk, functional GGA-PBE.

Lattice parameters (Å, degrees): 4.490 10.412 10.888 90.00 90.01 90.00
Fractional positions:
Cd: 0.500 0.500 0.000
Cd: 0.000 0.000 0.500
In: 0.000 0.986 0.158
In: 0.000 0.680 0.508
In: 0.000 0.669 0.846
In: 0.500 0.169 0.654
In: 0.500 0.180 0.992
In: 0.500 0.486 0.342
In: 0.000 0.014 0.842
In: 0.000 0.320 0.492
In: 0.000 0.331 0.154
In: 0.500 0.831 0.346
In: 0.500 0.820 0.008
In: 0.500 0.514 0.658
Bi: 0.000 0.349 0.816
Bi: 0.500 0.849 0.684
Bi: 0.500 0.151 0.316
Bi: 0.000 0.651 0.184

Output
energy relative to the lowest polymorph listed for this composition	0	meV per atom
SG	Pnnm, No. 58
E_tot	-2.755	eV/atom

---

A geometry-optimized BeAg2Cl structure. Source: Alexandria via LeMat-Bulk, functional GGA-PBE.

Lattice parameters (Å, degrees): 5.466 5.466 5.466 138.36 138.36 60.35
Fractional positions:
Be: 0.250 0.750 0.500
Ag: 0.000 0.000 0.000
Ag: 0.500 0.500 0.000
Cl: 0.750 0.250 0.500

Output
energy relative to the lowest polymorph listed for this composition	594	meV per atom
SG	I4/mmm, No. 139
E_tot	-2.339	eV/atom

---

A geometry-optimized La4Zn3 structure. Source: Alexandria via LeMat-Bulk, functional GGA-PBE.

Lattice parameters (Å, degrees): 5.804 5.804 6.515 90.00 90.00 120.00
Fractional positions:
La: 0.000 0.000 0.233
La: 0.000 0.000 0.767
La: 0.667 0.333 0.500
La: 0.333 0.667 0.500
Zn: 0.000 0.500 0.000
Zn: 0.500 0.500 0.000
Zn: 0.500 0.000 0.000

Output
energy relative to the lowest polymorph listed for this composition	67	meV per atom
SG	P6/mmm, No. 191
E_tot	-3.486	eV/atom

---

A geometry-optimized ErSnC structure. Source: Alexandria via LeMat-Bulk, functional GGA-PBE.

Lattice parameters (Å, degrees): 4.306 4.306 6.813 108.42 108.42 90.00
Fractional positions:
Er: 0.119 0.119 0.238
Er: 0.881 0.881 0.762
C: 0.000 0.500 0.000
C: 0.500 0.000 0.000
Sn: 0.624 0.624 0.247
Sn: 0.376 0.376 0.753

Output
energy relative to the lowest polymorph listed for this composition	305	meV per atom
SG	I4/mmm, No. 139
E_tot	-5.534	eV/atom

---

A geometry-optimized V3HSe structure. Source: Alexandria via LeMat-Bulk, functional GGA-PBE.

Lattice parameters (Å, degrees): 3.837 3.837 3.837 90.00 90.00 90.00
Fractional positions:
H: 0.000 0.000 0.000
Se: 0.500 0.500 0.500
V: 0.000 0.500 0.000
V: 0.000 0.000 0.500
V: 0.500 0.000 0.000

Output
energy relative to the lowest polymorph listed for this composition	0	meV per atom
SG	Pm-3m, No. 221
E_tot	-6.873	eV/atom

---

A geometry-optimized AsP2Ru structure. Source: Alexandria via LeMat-Bulk, functional GGA-PBE.

Lattice parameters (Å, degrees): 7.136 7.136 7.136 26.17 26.17 26.17
Fractional positions:
As: 0.755 0.755 0.755
P: 0.987 0.987 0.987
P: 0.258 0.258 0.258
Ru: 0.500 0.500 0.500

Output
SG	R3m, No. 160
E_tot	-6.140	eV/atom

---

A geometry-optimized LaZrCo2Hg structure. Source: Alexandria via LeMat-Bulk, functional GGA-PBE.

Lattice parameters (Å, degrees): 4.532 5.401 4.532 90.00 90.00 90.00
Fractional positions:
Co: 0.000 0.000 0.500
Co: 0.500 0.000 0.000
Hg: 0.500 0.500 0.500
Zr: 0.000 0.500 0.000
La: 0.000 0.000 0.000

Output
SG	P4/mmm, No. 123
E_tot	-4.299	eV/atom

---

A geometry-optimized TlV2Te structure. Source: Alexandria via LeMat-Bulk, functional GGA-PBE.

Lattice parameters (Å, degrees): 7.518 7.518 6.238 52.95 52.95 90.00
Each line ends with the local moment (μB).
Fractional positions:
Tl: 0.000 0.000 0.000  -0.05
Tl: 0.750 0.250 0.500  -0.05
Te: 0.500 0.500 0.000  -0.09
Te: 0.250 0.750 0.500  -0.09
V: 0.602 0.125 0.250  2.38
V: 0.148 0.625 0.250  2.38
V: 0.375 0.398 0.750  2.38
V: 0.875 0.852 0.750  2.38

Output
energy relative to the lowest polymorph listed for this composition	141	meV per atom
SG	I-42d, No. 122
E_tot	-5.278	eV/atom

---

A geometry-optimized Ac2LaNd2Y structure. Source: Alexandria via LeMat-Bulk, functional GGA-PBE.

Lattice parameters (Å, degrees): 5.980 7.408 10.335 90.00 90.00 90.00
Fractional positions:
Ac: 0.500 0.008 0.000
Ac: 0.000 0.258 0.173
Ac: 0.500 0.508 0.000
Ac: 0.000 0.758 0.827
La: 0.000 0.007 0.500
La: 0.000 0.507 0.500
Nd: 0.000 0.258 0.828
Nd: 0.500 0.257 0.340
Nd: 0.000 0.758 0.172
Nd: 0.500 0.757 0.660
Y: 0.500 0.257 0.664
Y: 0.500 0.757 0.336

Output
SG	Pmc2_1, No. 26
E_tot	-4.789	eV/atom

---

A geometry-optimized In2Hg structure. Source: Alexandria via LeMat-Bulk, functional GGA-PBE.

Lattice parameters (Å, degrees): 8.829 8.829 5.076 90.00 90.00 155.97
Fractional positions:
Hg: 0.896 0.104 0.250
Hg: 0.104 0.896 0.750
In: 0.561 0.439 0.250
In: 0.439 0.561 0.750
In: 0.227 0.773 0.250
In: 0.773 0.227 0.750

Output
energy relative to the lowest polymorph listed for this composition	0	meV per atom
SG	Cmcm, No. 63
E_tot	-1.924	eV/atom